Density functional theory data (PBEsol) for MgTa2GaRe after structural relaxation.

Cell lengths 4.8386, 4.8386, 4.7956 Å; angles 90.00, 90.00, 90.00 degrees
Last column: nearest neighbours and their distance in Å.
Space group P4/mmm (No. 123)
Unique sites:
Mg: 0.0000 0.0000 0.0000  8 Ta 3.41, 4 Ga 3.42
Ta: 0.0000 0.5000 0.5000  2 Re 2.42
Ga: 0.5000 0.5000 0.0000  2 Re 2.40
Re: 0.5000 0.5000 0.5000  2 Ga 2.40, 4 Ta 2.42

Energy of formation from the pure elements (eV/atom): 1.039
Magnetization (μB/cell): 0.00
Total energy (eV per cell): -38.30